BeBiIrOs2 | PBE | optimized geometry

Output
Fermi-level density of states: 5.55 states/eV per cell
raw total energy: -5.59 eV/atom
energy relative to the elements: 11.00 eV per formula unit

a = 4.7349 Å, b = 4.7349 Å, c = 5.3217 Å
α = 90.00°, β = 90.00°, γ = 90.00°
Last column: nearest neighbours and their distance in Å.
Space group P4/mmm (No. 123)
Inequivalent atoms, fractional coordinates:
Be: 0.0000 0.0000 0.0000 x1  4 Bi 3.35, 8 Os 3.56
Bi: 0.5000 0.5000 0.0000 x1  2 Ir 2.66
Ir: 0.5000 0.5000 0.5000 x1  4 Os 2.37
Os: 0.0000 0.5000 0.5000 x2  2 Ir 2.37